No. 1
A plane-wave DFT calculation with GGA-PBE was carried out for Sr2Te3Pb after structural relaxation.

Formation energy from raw total energies = -1.291 eV per atom
Energy = -4.040 eV per atom

Cell: 4.720 6.660 14.184 Å, 90.00 90.00 90.00°
Space group Immm (No. 71)
Asymmetric unit:
Sr: 0.000 0.000 0.166
Te: 0.000 0.500 0.165
Te: 0.000 0.500 0.500
Pb: 0.000 0.000 0.500



No. 2
A plane-wave DFT calculation with GGA-PBE was carried out for ZnPt2F2 after structural relaxation.

Formation energy from raw total energies = -0.135 eV per atom
Energy = -3.555 eV per atom

Cell: 7.465 7.465 2.686 Å, 90.00 90.00 90.00°
Space group P4/mbm (No. 127)
Asymmetric unit:
Zn: 0.000 0.000 0.000
Pt: 0.116 0.384 0.500
F: 0.212 0.712 0.000



No. 3
A plane-wave DFT calculation with GGA-PBE was carried out for Ba3HfTi2O9 after structural relaxation.

Formation energy from raw total energies = -3.158 eV per atom
Energy = -8.234 eV per atom

Cell: 5.7821 5.7821 7.0880 Å, 90.00 90.00 120.00°
Space group P-3m1 (No. 164)
Asymmetric unit:
Ba: 0.0000 0.0000 0.0000
Ba: 0.3333 0.6667 0.6722
Hf: 0.0000 0.0000 0.5000
Ti: 0.3333 0.6667 0.1639
O: 0.0000 0.5000 0.0000
O: 0.1707 0.3414 0.3278